Record 1
The following is a DFT calculation (GGA+U) of NiHgI2O after structural relaxation.

Summary:
Symmetry: P4/mmm (123)
Offset from the most stable computed form (eV/atom): 0.4664
Energy (eV/atom): -1.6553

a b c (Å): 5.9609 5.9609 4.0931
angles (deg): 90.00 90.00 90.00
Last column: nearest neighbours and their distance in Å.
Fractional positions:
Ni 0.0000 0.0000 0.0000  8 I 3.62
Hg 0.5000 0.5000 0.5000  2 O 2.05
I 0.0000 0.5000 0.5000  2 Hg 2.98
I 0.5000 0.0000 0.5000  2 Hg 2.98
O 0.5000 0.5000 0.0000  2 Hg 2.05



Record 2
The following is a DFT calculation (GGA+U) of NiHg2IO after structural relaxation.

Summary:
Symmetry: P4/mmm (123)
Energy (eV/atom): -0.9394

a b c (Å): 5.9748 5.9748 4.0120
angles (deg): 90.00 90.00 90.00
Last column: nearest neighbours and their distance in Å.
Fractional positions:
Ni 0.0000 0.0000 0.0000  8 Hg 3.60, 2 Ni 4.01
Hg 0.0000 0.5000 0.5000  2 I 2.99
Hg 0.5000 0.0000 0.5000  2 I 2.99
I 0.5000 0.5000 0.5000  2 O 2.01
O 0.5000 0.5000 0.0000  2 I 2.01



Record 3
The following is a DFT calculation (GGA+U) of NiHg2IO6 after structural relaxation.

Summary:
Symmetry: R-3 (148)
Energy (eV/atom): -3.8018

a b c (Å): 5.6884 5.6884 5.6884
angles (deg): 59.16 59.16 59.16
Last column: nearest neighbours and their distance in Å.
Fractional positions:
Ni 0.0000 0.0000 0.0000  6 O 2.12
Hg 0.2506 0.2506 0.2506  3 O 2.25
Hg 0.7494 0.7494 0.7494  3 O 2.25
I 0.5000 0.5000 0.5000  6 O 2.03
O 0.1575 0.7407 0.3549  1 I 2.03, 1 Ni 2.12, 1 Hg 2.25
O 0.2593 0.6451 0.8425  1 I 2.03, 1 Ni 2.12, 1 Hg 2.25
O 0.3549 0.1575 0.7407  1 I 2.03, 1 Ni 2.12, 1 Hg 2.25
O 0.6451 0.8425 0.2593  1 I 2.03, 1 Ni 2.12, 1 Hg 2.25
O 0.7407 0.3549 0.1575  1 I 2.03, 1 Ni 2.12, 1 Hg 2.25
O 0.8425 0.2593 0.6451  1 I 2.03, 1 Ni 2.12, 1 Hg 2.25



Record 4
The following is a DFT calculation (GGA+U) of NiHgI2O after structural relaxation.

Summary:
Symmetry: P4/mmm (123)
Offset from the most stable computed form (eV/atom): 0.0000
Energy (eV/atom): -2.1217

a b c (Å): 6.0237 6.0237 3.5347
angles (deg): 90.00 90.00 90.00
Last column: nearest neighbours and their distance in Å.
Fractional positions:
Ni 0.0000 0.0000 0.0000  2 O 1.77
Hg 0.5000 0.5000 0.5000  8 I 3.49, 2 Hg 3.53
I 0.0000 0.5000 0.0000  2 Ni 3.01
I 0.5000 0.0000 0.0000  2 Ni 3.01
O 0.0000 0.0000 0.5000  2 Ni 1.77



Q: What is the formula in the fourth record?
A: NiHgI2O